[1]
! Ga2AgRu2 (GGA-PBE, relaxed); values from VASP
&SYSTEM
  ibrav = 0, nat = 10, ntyp = 3
/
ATOMIC_SPECIES
Ga 69.72 Ga.upf
Ag 107.87 Ag.upf
Ru 101.07 Ru.upf
CELL_PARAMETERS angstrom
7.253 0.000 0.000
0.000 7.253 0.000
0.000 0.000 2.957
ATOMIC_POSITIONS crystal
Ga 0.168 0.332 0.000
Ga 0.332 0.832 0.000
Ga 0.668 0.168 0.000
Ga 0.832 0.668 0.000
Ag 0.000 0.000 0.500
Ag 0.500 0.500 0.500
Ru 0.129 0.629 0.500
Ru 0.371 0.129 0.500
Ru 0.629 0.871 0.500
Ru 0.871 0.371 0.500
! energy relative to the elements	-0.017	eV/atom
! ΔE to the lowest computed polymorph	0.0401	eV/atom
! DOS at the Fermi energy	5.6	states/eV/f.u.
! energy	-55.08	eV/cell

=====

[2]
! ReSi2Ni (GGA-PBE, relaxed); values from VASP
&SYSTEM
  ibrav = 0, nat = 4, ntyp = 3
/
ATOMIC_SPECIES
Re 186.21 Re.upf
Si 28.09 Si.upf
Ni 58.69 Ni.upf
CELL_PARAMETERS angstrom
0.000 2.968 2.968
2.968 0.000 2.968
2.968 2.968 0.000
ATOMIC_POSITIONS crystal
Re 0.000 0.000 0.000
Si 0.500 0.500 0.500
Si 0.750 0.750 0.750
Ni 0.250 0.250 0.250
! ΔE_f (raw)	286	meV/atom
! DOS at the Fermi energy	2.8	states/eV/f.u.
! energy	-27.93	eV/cell

=====

[3]
! Cs3RuI (GGA-PBE, relaxed); values from VASP
&SYSTEM
  ibrav = 0, nat = 5, ntyp = 3
/
ATOMIC_SPECIES
Cs 132.91 Cs.upf
Ru 101.07 Ru.upf
I 126.90 I.upf
CELL_PARAMETERS angstrom
6.005 0.000 0.000
0.000 6.005 0.000
0.000 0.000 6.005
ATOMIC_POSITIONS crystal
Cs 0.000 0.000 0.500
Cs 0.000 0.500 0.000
Cs 0.500 0.000 0.000
Ru 0.000 0.000 0.000
I 0.500 0.500 0.500
! ΔE_f (raw)	152	meV/atom
! DOS at the Fermi energy	2.0	states/eV/f.u.
! energy	-12.63	eV/cell

=====

[4]
! Dy7TlNi2 (GGA-PBE, relaxed); values from VASP
&SYSTEM
  ibrav = 0, nat = 10, ntyp = 3
/
ATOMIC_SPECIES
Dy 162.50 Dy.upf
Tl 204.38 Tl.upf
Ni 58.69 Ni.upf
CELL_PARAMETERS angstrom
4.459 -6.813 0.000
4.459 6.813 0.000
0.000 0.000 4.925
ATOMIC_POSITIONS crystal
Dy 0.000 0.000 0.000
Dy 0.186 0.446 0.000
Dy 0.206 0.794 0.500
Dy 0.446 0.186 0.000
Dy 0.554 0.814 0.000
Dy 0.794 0.206 0.500
Dy 0.814 0.554 0.000
Tl 0.500 0.500 0.500
Ni 0.204 0.796 0.000
Ni 0.796 0.204 0.000
! energy relative to the elements	-0.050	eV/atom
! DOS at the Fermi energy	9.6	states/eV/f.u.
! energy	-46.64	eV/cell